Material: TmAgGePd
Method: DFT, PBE
State: relaxed

Unit cell a=6.707 b=6.707 c=6.707 alpha=90.00 beta=90.00 gamma=90.00
Element x y z (fractional)
Tm: 0.000 0.000 0.000
Tm: 0.000 0.500 0.500
Tm: 0.500 0.000 0.500
Tm: 0.500 0.500 0.000
Ag: 0.000 0.000 0.500
Ag: 0.000 0.500 0.000
Ag: 0.500 0.000 0.000
Ag: 0.500 0.500 0.500
Ge: 0.250 0.250 0.750
Ge: 0.250 0.750 0.250
Ge: 0.750 0.250 0.250
Ge: 0.750 0.750 0.750
Pd: 0.250 0.250 0.250
Pd: 0.250 0.750 0.750
Pd: 0.750 0.250 0.750
Pd: 0.750 0.750 0.250

E_tot	-4.774	eV per atom
formation enthalpy at 0 K	-0.4907	eV/atom
total magnetic moment	0.0	μB/f.u.

=====

Material: NaCdGa2Co
Method: DFT, PBE
State: relaxed

Unit cell a=4.574 b=4.574 c=5.044 alpha=90.00 beta=90.00 gamma=90.00
Element x y z (fractional)
Na: 0.000 0.000 0.000
Cd: 0.500 0.500 0.000
Ga: 0.000 0.500 0.500
Ga: 0.500 0.000 0.500
Co: 0.500 0.500 0.500

E_tot	-3.184	eV per atom
formation enthalpy at 0 K	-0.1052	eV/atom
total magnetic moment	0.0	μB/f.u.

=====

Material: RbInGa
Method: DFT, PBE
State: relaxed

Unit cell a=3.779 b=3.779 c=13.800 alpha=90.00 beta=90.00 gamma=90.00
Element x y z (fractional)
Rb: 0.000 0.000 0.000
Rb: 0.500 0.500 0.500
In: 0.000 0.000 0.294
In: 0.500 0.500 0.794
Ga: 0.000 0.000 0.693
Ga: 0.500 0.500 0.193

E_tot	-2.218	eV per atom
E above lowest polymorph	119	meV/atom
formation enthalpy at 0 K	0.0262	eV/atom
total magnetic moment	0.0	μB/f.u.

=====

Material: U2Mn3Al2
Method: DFT, PBE
State: relaxed

Unit cell a=11.797 b=4.334 c=4.783 alpha=90.00 beta=105.34 gamma=90.00
Element x y z (fractional)
U: 0.146 0.000 0.268
U: 0.354 0.500 0.732
U: 0.646 0.500 0.268
U: 0.854 0.000 0.732
Mn: 0.000 0.000 0.500
Mn: 0.206 0.000 0.881
Mn: 0.294 0.500 0.119
Mn: 0.500 0.500 0.500
Mn: 0.706 0.500 0.881
Mn: 0.794 0.000 0.119
Al: 0.074 0.500 0.769
Al: 0.426 0.000 0.231
Al: 0.574 0.000 0.769
Al: 0.926 0.500 0.231

E_tot	-8.476	eV per atom
formation enthalpy at 0 K	-0.2516	eV/atom
total magnetic moment	0.0	μB/f.u.

=====

Material: AcGdInSn
Method: DFT, PBE
State: relaxed

Unit cell a=7.926 b=7.926 c=7.926 alpha=90.00 beta=90.00 gamma=90.00
Element x y z (fractional)
Ac: 0.000 0.000 0.000
Ac: 0.000 0.500 0.500
Ac: 0.500 0.000 0.500
Ac: 0.500 0.500 0.000
Gd: 0.000 0.000 0.500
Gd: 0.000 0.500 0.000
Gd: 0.500 0.000 0.000
Gd: 0.500 0.500 0.500
In: 0.250 0.250 0.250
In: 0.250 0.750 0.750
In: 0.750 0.250 0.750
In: 0.750 0.750 0.250
Sn: 0.250 0.250 0.750
Sn: 0.250 0.750 0.250
Sn: 0.750 0.250 0.250
Sn: 0.750 0.750 0.750

E_tot	-6.728	eV per atom
formation enthalpy at 0 K	-0.4954	eV/atom
total magnetic moment	7.2	μB/f.u.

=====

Material: KCa2Mg2
Method: DFT, PBE
State: relaxed

Unit cell a=4.193 b=4.193 c=24.312 alpha=90.00 beta=90.00 gamma=90.00
Element x y z (fractional)
K: 0.000 0.000 0.000
K: 0.500 0.500 0.500
Ca: 0.000 0.000 0.364
Ca: 0.000 0.000 0.636
Ca: 0.500 0.500 0.136
Ca: 0.500 0.500 0.864
Mg: 0.000 0.500 0.250
Mg: 0.000 0.500 0.750
Mg: 0.500 0.000 0.250
Mg: 0.500 0.000 0.750

E_tot	-1.466	eV per atom
E above lowest polymorph	120	meV/atom
formation enthalpy at 0 K	0.1919	eV/atom
total magnetic moment	0.0	μB/f.u.

=====

Material: RbSn2Pd2
Method: DFT, PBE
State: relaxed

Unit cell a=4.755 b=4.755 c=11.492 alpha=90.00 beta=90.00 gamma=90.00
Element x y z (fractional)
Rb: 0.000 0.000 0.000
Rb: 0.500 0.500 0.500
Sn: 0.000 0.500 0.250
Sn: 0.000 0.500 0.750
Sn: 0.500 0.000 0.250
Sn: 0.500 0.000 0.750
Pd: 0.000 0.000 0.369
Pd: 0.000 0.000 0.631
Pd: 0.500 0.500 0.131
Pd: 0.500 0.500 0.869

E_tot	-4.156	eV per atom
E above lowest polymorph	102	meV/atom
formation enthalpy at 0 K	-0.2837	eV/atom
total magnetic moment	0.0	μB/f.u.

=====

Q: Among the records above, which one has the highest E_tot?
A: KCa2Mg2

=====

What did the third record say?
Material: RbInGa
Method: DFT, PBE
State: relaxed

Unit cell a=3.779 b=3.779 c=13.800 alpha=90.00 beta=90.00 gamma=90.00
Element x y z (fractional)
Rb: 0.000 0.000 0.000
Rb: 0.500 0.500 0.500
In: 0.000 0.000 0.294
In: 0.500 0.500 0.794
Ga: 0.000 0.000 0.693
Ga: 0.500 0.500 0.193

E_tot	-2.218	eV per atom
E above lowest polymorph	119	meV/atom
formation enthalpy at 0 K	0.0262	eV/atom
total magnetic moment	0.0	μB/f.u.

=====

Copy entry 6 word for word.
Material: KCa2Mg2
Method: DFT, PBE
State: relaxed

Unit cell a=4.193 b=4.193 c=24.312 alpha=90.00 beta=90.00 gamma=90.00
Element x y z (fractional)
K: 0.000 0.000 0.000
K: 0.500 0.500 0.500
Ca: 0.000 0.000 0.364
Ca: 0.000 0.000 0.636
Ca: 0.500 0.500 0.136
Ca: 0.500 0.500 0.864
Mg: 0.000 0.500 0.250
Mg: 0.000 0.500 0.750
Mg: 0.500 0.000 0.250
Mg: 0.500 0.000 0.750

E_tot	-1.466	eV per atom
E above lowest polymorph	120	meV/atom
formation enthalpy at 0 K	0.1919	eV/atom
total magnetic moment	0.0	μB/f.u.